First-principles (PBE+U) data for a geometry-optimized CuNiF2 structure, as listed in Alexandria.

Its energy above the lowest structure with this stoichiometry is 307.8 meV per atom. Its density of states at the Fermi level is 2.23 states/eV/f.u. As for the total DFT energy (no corrections): -3.4762 eV/atom. The calculation puts the total magnetic moment at 0.294 μB per atom. The value obtained for the calculated density is 5.784 g cm⁻³.

Lattice parameters (Å, degrees): 4.928 4.928 4.928 108.31 108.31 111.83
Atoms (fractional coordinates):
Cu: 0.000 0.000 0.000
Cu: 0.750 0.250 0.500
Ni: 0.250 0.750 0.500
Ni: 0.500 0.500 0.000
F: 0.137 0.125 0.512
F: 0.375 0.863 0.988
F: 0.613 0.625 0.488
F: 0.875 0.387 0.012